Entry 1:
Dy4ScS5 | PBE | relaxed

Properties
DOS at the Fermi energy ... 4.2 states/eV/f.u.
Formation energy (no corrections) ... -19.51 eV/f.u.
Size of the total moment ... 0.000 μB/atom
Electronic total energy ... -6.488 eV/atom

Cell lengths 3.869, 3.869, 27.351 Å; angles 90.00, 90.00, 90.00 degrees
Space group I4/mmm (No. 139)
Inequivalent atoms, fractional coordinates:
Dy 0.000 0.000 0.100
Dy 0.000 0.000 0.303
Sc 0.000 0.000 0.500
S 0.000 0.000 0.000
S 0.000 0.000 0.201
S 0.000 0.000 0.404

---

Entry 2:
Dy3ScS6 | PBE | relaxed

Properties
DOS at the Fermi energy ... 0.0 states/eV/f.u.
Formation energy (no corrections) ... -20.33 eV/f.u.
Size of the total moment ... 0.000 μB/atom
Electronic total energy ... -6.523 eV/atom

Cell lengths 11.3010, 11.3010, 13.3839 Å; angles 90.00, 90.00, 120.00 degrees
Space group R-3 (No. 148, hexagonal axes)
Inequivalent atoms, fractional coordinates:
Dy 0.0508 0.2713 0.2006
Sc 0.0000 0.0000 0.0000
Sc 0.0000 0.0000 0.5000
S 0.0209 0.2055 0.3982
S 0.0314 0.1913 0.8815

---

Entry 3:
DySc5S6 | PBE | relaxed

Properties
DOS at the Fermi energy ... 5.9 states/eV/f.u.
Formation energy (no corrections) ... -22.61 eV/f.u.
Size of the total moment ... 0.000 μB/atom
Electronic total energy ... -6.970 eV/atom

Cell lengths 6.446, 11.203, 6.462 Å; angles 90.00, 109.46, 90.00 degrees
Space group C2/m (No. 12)
Inequivalent atoms, fractional coordinates:
Dy 0.000 0.000 0.000
Sc 0.000 0.162 0.500
Sc 0.000 0.334 0.000
Sc 0.000 0.500 0.500
S 0.242 0.500 0.254
S 0.243 0.328 0.744